Entry 1:
The following is a GGA-PBE calculation of an optimized crystal structure of Nd3Ho2ErCoS2, from OQMD via LeMat-Bulk.

Total energy in eV/atom: -5.622

```
Nd3Ho2ErCoS2
1.0
3.854 0.000 0.000
0.000 6.960 4.022
0.000 -6.960 4.022
Nd Ho Er Co S
3 2 1 1 2
Cartesian
0.000 0.000 0.000
0.000 -2.915 2.986
0.000 2.915 2.986
1.927 -1.672 5.638
1.927 1.672 5.638
1.927 0.000 2.740
0.000 0.000 4.658
1.927 -4.643 4.672
1.927 4.643 4.672
```

Entry 2:
The following is a GGA-PBE calculation of an optimized crystal structure of Nd3Ho2ErCoSe2, from OQMD via LeMat-Bulk.

Total energy in eV/atom: -5.480

```
Nd3Ho2ErCoSe2
1.0
3.884 0.000 0.000
0.000 7.083 4.093
0.000 -7.083 4.093
Nd Ho Er Co Se
3 2 1 1 2
Cartesian
0.000 0.000 0.000
0.000 -2.928 3.105
0.000 2.928 3.105
1.942 -1.667 5.760
1.942 1.667 5.760
1.942 0.000 2.875
0.000 0.000 4.784
1.942 -4.724 4.798
1.942 4.724 4.798
```

Entry 3:
The following is a GGA-PBE calculation of an optimized crystal structure of HoEr2Co8Ni, from OQMD via LeMat-Bulk.

Formation energy from the elements in eV per atom: -0.221

```
HoEr2Co8Ni
1.0
2.453 1.416 8.133
-2.453 1.416 8.133
0.000 -2.833 8.133
Ho Er Co Ni
1 2 8 1
Cartesian
0.000 0.000 0.000
0.000 0.000 3.401
0.000 0.000 20.999
-1.230 -0.710 10.116
0.000 0.000 8.138
0.000 -1.420 14.283
-1.230 0.710 14.283
1.230 -0.710 10.116
0.000 1.420 10.116
0.000 0.000 16.261
1.230 0.710 14.283
0.000 0.000 12.200
```

Entry 4:
The following is a GGA-PBE calculation of an optimized crystal structure of HoEr2Co3Ni6, from OQMD via LeMat-Bulk.

Formation energy from the elements in eV per atom: -0.327

```
HoEr2Co3Ni6
1.0
2.457 1.418 8.096
-2.457 1.418 8.096
0.000 -2.837 8.096
Ho Er Co Ni
1 2 3 6
Cartesian
0.000 0.000 0.000
0.000 0.000 3.381
0.000 0.000 20.905
0.000 0.000 8.090
0.000 0.000 12.143
0.000 0.000 16.197
-1.224 -0.707 10.086
0.000 -1.414 14.201
-1.224 0.707 14.201
1.224 -0.707 10.086
0.000 1.414 10.086
1.224 0.707 14.201
```

Entry 5:
The following is a GGA-PBE calculation of an optimized crystal structure of Ho2ErCo3Ni6, from OQMD via LeMat-Bulk.

Formation energy from the elements in eV per atom: -0.321

```
Ho2ErCo3Ni6
1.0
2.457 1.419 8.110
-2.457 1.419 8.110
0.000 -2.837 8.110
Ho Er Co Ni
2 1 3 6
Cartesian
0.000 0.000 3.386
0.000 0.000 20.945
0.000 0.000 0.000
0.000 0.000 8.104
0.000 0.000 12.166
0.000 0.000 16.227
-1.224 -0.706 10.099
0.000 -1.413 14.232
-1.224 0.706 14.232
1.224 -0.706 10.099
0.000 1.413 10.099
1.224 0.706 14.232
```

Entry 6:
The following is a GGA-PBE calculation of an optimized crystal structure of Ho2ErCoNi8, from OQMD via LeMat-Bulk.

Formation energy from the elements in eV per atom: -0.392

```
Ho2ErCoNi8
1.0
2.456 1.418 8.100
-2.456 1.418 8.100
0.000 -2.836 8.100
Ho Er Co Ni
2 1 1 8
Cartesian
0.000 0.000 3.386
0.000 0.000 20.913
0.000 0.000 0.000
0.000 0.000 12.150
-1.229 -0.710 10.100
0.000 0.000 8.094
0.000 -1.419 14.200
-1.229 0.710 14.200
1.229 -0.710 10.100
0.000 1.419 10.100
0.000 0.000 16.206
1.229 0.710 14.200
```

What is the formula in the third record? HoEr2Co8Ni